[1]
The following is a DFT calculation (PBE) of crystalline HgIr at its relaxed geometry.

a b c (Å): 6.8166 6.8166 6.9332
angles (deg): 90.00 90.00 90.00
Closest atoms and distances in Å follow each position.
Positions (direct):
Hg: 0.0620 0.2273 0.3163  6 Ir 2.86-3.08, 2 Hg 2.94-3.00
Hg: 0.2273 0.0620 0.6837  6 Ir 2.86-3.08, 2 Hg 2.94-3.00
Hg: 0.2727 0.5620 0.5663  6 Ir 2.86-3.08, 2 Hg 2.94-3.00
Hg: 0.4380 0.7273 0.9337  6 Ir 2.86-3.08, 2 Hg 2.94-3.00
Hg: 0.5620 0.2727 0.4337  6 Ir 2.86-3.08, 2 Hg 2.94-3.00
Hg: 0.7273 0.4380 0.0663  6 Ir 2.86-3.08, 2 Hg 2.94-3.00
Hg: 0.7727 0.9380 0.1837  6 Ir 2.86-3.08, 2 Hg 2.94-3.00
Hg: 0.9380 0.7727 0.8163  6 Ir 2.86-3.08, 2 Hg 2.94-3.00
Ir: 0.0890 0.6642 0.2043  3 Ir 2.46-2.50
Ir: 0.1642 0.4110 0.9543  3 Ir 2.46-2.50
Ir: 0.3358 0.9110 0.2957  3 Ir 2.46-2.50
Ir: 0.4110 0.1642 0.0457  3 Ir 2.46-2.50
Ir: 0.5890 0.8358 0.5457  3 Ir 2.46-2.50
Ir: 0.6642 0.0890 0.7957  3 Ir 2.46-2.50
Ir: 0.8358 0.5890 0.4543  3 Ir 2.46-2.50
Ir: 0.9110 0.3358 0.7043  3 Ir 2.46-2.50

Values from the calculation:
As for the space group: P4_12_12, No. 92. The mass density is 16.20 g cm⁻³. The density of states at the Fermi level comes out at 9.574 states/eV per cell.

[2]
The following is a DFT calculation (PBE) of crystalline HgIr at its relaxed geometry.

a b c (Å): 4.3074 4.3074 4.3074
angles (deg): 60.00 60.00 60.00
Closest atoms and distances in Å follow each position.
Positions (direct):
Hg: 0.0000 0.0000 0.0000  4 Ir 2.64
Ir: 0.7500 0.7500 0.7500  4 Hg 2.64

Values from the calculation:
As for the space group: F-43m, No. 216. The mass density is 11.54 g cm⁻³. The density of states at the Fermi level comes out at 6.090 states/eV per cell.

[3]
The following is a DFT calculation (PBE) of crystalline HgIr at its relaxed geometry.

a b c (Å): 9.8723 9.8723 9.8723
angles (deg): 17.01 17.01 17.01
Closest atoms and distances in Å follow each position.
Positions (direct):
Hg: 0.1186 0.1186 0.1186  6 Hg 2.92, 3 Ir 2.97
Hg: 0.8814 0.8814 0.8814  6 Hg 2.92, 3 Ir 2.97
Ir: 0.3681 0.3681 0.3681  9 Ir 2.64-2.92
Ir: 0.6319 0.6319 0.6319  9 Ir 2.64-2.92

Values from the calculation:
As for the space group: R-3m, No. 166. The mass density is 18.17 g cm⁻³. The density of states at the Fermi level comes out at 2.596 states/eV per cell.

no.,E_form (meV/atom)
1,418
2,1799
3,443